Entry 1:
First-principles (PBE) data for a geometry-optimized CaAsH structure, as listed in Alexandria.

Properties
- Magnetic moment: 0.0 Bohr magnetons per cell
- Symmetry: No. 63
- Calculated total energy: -46.85 eV for the cell shown

Cell lengths 7.751, 3.731, 7.763 Å; angles 90.00, 90.00, 90.00 degrees
Positions (direct):
1 H 0.750 0.250 0.583
2 H 0.750 0.750 0.083
3 H 0.250 0.750 0.417
4 H 0.250 0.250 0.917
5 As 0.250 0.250 0.445
6 As 0.250 0.750 0.945
7 As 0.750 0.750 0.555
8 As 0.750 0.250 0.055
9 Ca 0.000 0.250 0.750
10 Ca 0.500 0.750 0.250
11 Ca 0.000 0.750 0.250
12 Ca 0.500 0.250 0.750

=====

Entry 2:
First-principles (PBE) data for a geometry-optimized CaAs2H2 structure, as listed in Alexandria.

Properties
- Magnetic moment: 0.0 Bohr magnetons per cell
- Symmetry: No. 139
- Calculated total energy: -17.49 eV for the cell shown

Cell lengths 4.065, 4.065, 5.376 Å; angles 67.78, 67.78, 90.00 degrees
Positions (direct):
1 H 0.750 0.250 0.500
2 H 0.250 0.750 0.500
3 As 0.365 0.365 0.271
4 As 0.635 0.635 0.729
5 Ca 0.000 0.000 0.000

=====

Entry 3:
First-principles (PBE) data for a geometry-optimized Ca4AsH2 structure, as listed in Alexandria.

Properties
- Magnetic moment: 1.0 Bohr magnetons per cell
- Symmetry: No. 139
- Calculated total energy: -22.12 eV for the cell shown

Cell lengths 5.552, 5.552, 7.356 Å; angles 67.83, 67.83, 90.00 degrees
Each line ends with the local moment (μB).
Positions (direct):
1 H 0.588 0.588 0.825  0.00
2 H 0.412 0.412 0.175  0.00
3 As 0.000 0.000 0.000  0.02
4 Ca 0.763 0.763 0.475  0.05
5 Ca 0.237 0.237 0.525  0.05
6 Ca 0.000 0.500 0.000  0.02
7 Ca 0.500 0.000 0.000  0.02

=====

Entry 4:
First-principles (PBE) data for a geometry-optimized Ca2AsH2 structure, as listed in Alexandria.

Properties
- Magnetic moment: 0.0 Bohr magnetons per cell
- Symmetry: No. 127
- Calculated total energy: -35.06 eV for the cell shown

Cell lengths 7.239, 7.239, 3.051 Å; angles 90.00, 90.00, 90.00 degrees
Positions (direct):
1 H 0.396 0.896 0.000
2 H 0.896 0.604 0.000
3 H 0.604 0.104 0.000
4 H 0.104 0.396 0.000
5 As 0.000 0.000 0.000
6 As 0.500 0.500 0.000
7 Ca 0.164 0.664 0.500
8 Ca 0.664 0.836 0.500
9 Ca 0.836 0.336 0.500
10 Ca 0.336 0.164 0.500